Below is Mn4VGa3 after structural relaxation, with properties calculated at the PBE level.

Lattice parameters (Å, degrees): 2.9333 2.9333 11.7716 90.00 90.00 90.00
Closest atoms and distances in Å follow each position.
Fractional coordinates of all 8 atoms:
Mn (0.0000, 0.0000, 0.1161)  4 V 2.48, 4 Ga 2.53, 1 Mn 2.73
Mn (0.0000, 0.0000, 0.3693)  8 Ga 2.58
Mn (0.0000, 0.0000, 0.6307)  8 Ga 2.58
Mn (0.0000, 0.0000, 0.8839)  4 V 2.48, 4 Ga 2.53, 1 Mn 2.73
V (0.5000, 0.5000, 0.0000)  8 Mn 2.48
Ga (0.5000, 0.5000, 0.2388)  8 Mn 2.53-2.58, 1 V 2.81
Ga (0.5000, 0.5000, 0.5000)  8 Mn 2.58
Ga (0.5000, 0.5000, 0.7612)  8 Mn 2.53-2.58, 1 V 2.81

Output
* ρ: 7.9 g/cm3
* space-group type: No. 123
* energy of formation from the pure elements: -0.96 eV/f.u.

=====

Below is Mn2V2Ga after structural relaxation, with properties calculated at the PBE level.

Lattice parameters (Å, degrees): 4.8046 4.8046 6.4439 131.62 131.62 35.50
Closest atoms and distances in Å follow each position.
Fractional coordinates of all 5 atoms:
Mn (0.0000, 0.0000, 0.0000)  4 V 2.45-2.46, 2 Mn 2.50, 2 Ga 2.57
Mn (0.2022, 0.2022, 0.6228)  4 V 2.46, 2 Mn 2.50, 2 Ga 2.56
V (0.4274, 0.4274, 0.2229)  4 Mn 2.45-2.46, 2 V 2.56, 3 Ga 2.63-2.72
V (0.6174, 0.6174, 0.8336)  4 Mn 2.46, 2 V 2.56, 2 Ga 2.63
Ga (0.8019, 0.8019, 0.4120)  5 Mn 2.56-2.84, 6 V 2.63-2.82

Output
* ρ: 7.6 g/cm3
* space-group type: No. 8
* energy of formation from the pure elements: -0.79 eV/f.u.
* relative energy among the computed polymorphs: 0.043 eV per atom

=====

Below is Mn2V2Ga after structural relaxation, with properties calculated at the PBE level.

Lattice parameters (Å, degrees): 6.3041 6.3041 5.1464 97.76 97.76 38.51
Closest atoms and distances in Å follow each position.
Fractional coordinates of all 10 atoms:
Mn (0.0000, 0.0000, 0.0000)  6 Mn 2.46-2.63, 2 V 2.50-2.67
Mn (0.0103, 0.0103, 0.4934)  3 V 2.30-2.47, 3 Ga 2.49-2.53, 1 Mn 2.52
Mn (0.4051, 0.4051, 0.8346)  3 V 2.35-2.61, 2 Mn 2.46, 3 Ga 2.49-2.54
Mn (0.6103, 0.6103, 0.2105)  4 V 2.41-2.51, 2 Ga 2.54-2.61, 2 Mn 2.61
V (0.1932, 0.1932, 0.3954)  3 Mn 2.30-2.44, 1 V 2.53
V (0.2155, 0.2155, 0.9132)  1 Mn 2.35, 3 V 2.47-2.53, 2 Ga 2.62
V (0.4132, 0.4132, 0.3300)  5 Mn 2.47-2.61, 3 V 2.63-2.69, 1 Ga 2.76
V (0.8022, 0.8022, 0.1101)  2 Mn 2.41-2.50, 4 V 2.47-2.63, 2 Ga 2.56-2.60
Ga (0.6002, 0.6002, 0.7135)  5 Mn 2.49-2.61, 3 V 2.62-2.76, 1 Ga 2.67
Ga (0.8140, 0.8140, 0.6100)  4 Mn 2.49-2.77, 4 V 2.56-2.67, 1 Ga 2.67

Output
* ρ: 7.4 g/cm3
* space-group type: No. 8
* energy of formation from the pure elements: -0.65 eV/f.u.
* relative energy among the computed polymorphs: 0.070 eV per atom

=====

Below is MnV7Ga3 after structural relaxation, with properties calculated at the PBE level.

Lattice parameters (Å, degrees): 2.5950 12.0993 9.9463 90.00 90.38 90.00
Closest atoms and distances in Å follow each position.
Fractional coordinates of all 22 atoms:
Mn (0.1588, 0.2500, 0.0506)  5 V 2.42-2.61, 2 Mn 2.59
Mn (0.8412, 0.7500, 0.9494)  5 V 2.42-2.61, 2 Mn 2.59
V (0.1555, 0.5847, 0.0607)  1 Mn 2.42, 6 V 2.51-2.64, 1 Ga 2.58
V (0.1555, 0.9153, 0.0607)  1 Mn 2.42, 6 V 2.51-2.64, 1 Ga 2.58
V (0.3847, 0.5918, 0.5474)  4 V 2.49-2.70, 5 Ga 2.58-2.75
V (0.3847, 0.9082, 0.5474)  4 V 2.49-2.70, 5 Ga 2.58-2.75
V (0.4803, 0.7500, 0.1937)  4 V 2.54-2.59, 1 Mn 2.61, 4 Ga 2.69-2.79
V (0.4898, 0.0953, 0.1825)  1 Mn 2.44, 2 Ga 2.59-2.71, 5 V 2.59-2.70
V (0.4898, 0.4047, 0.1825)  1 Mn 2.44, 2 Ga 2.59-2.71, 5 V 2.59-2.70
V (0.5102, 0.5953, 0.8175)  1 Mn 2.44, 2 Ga 2.59-2.71, 5 V 2.59-2.70
V (0.5102, 0.9047, 0.8175)  1 Mn 2.44, 2 Ga 2.59-2.71, 5 V 2.59-2.70
V (0.5197, 0.2500, 0.8063)  4 V 2.54-2.59, 1 Mn 2.61, 4 Ga 2.69-2.79
V (0.6153, 0.0918, 0.4526)  4 V 2.49-2.70, 5 Ga 2.58-2.75
V (0.6153, 0.4082, 0.4526)  4 V 2.49-2.70, 5 Ga 2.58-2.75
V (0.8445, 0.0847, 0.9393)  1 Mn 2.42, 6 V 2.51-2.64, 1 Ga 2.58
V (0.8445, 0.4153, 0.9393)  1 Mn 2.42, 6 V 2.51-2.64, 1 Ga 2.58
Ga (0.0581, 0.2500, 0.3226)  8 V 2.58-2.76, 2 Ga 2.59, 1 Mn 2.72
Ga (0.0606, 0.0765, 0.6868)  8 V 2.58-2.84, 2 Ga 2.59
Ga (0.0606, 0.4235, 0.6868)  8 V 2.58-2.84, 2 Ga 2.59
Ga (0.9394, 0.5765, 0.3132)  8 V 2.58-2.84, 2 Ga 2.59
Ga (0.9394, 0.9235, 0.3132)  8 V 2.58-2.84, 2 Ga 2.59
Ga (0.9419, 0.7500, 0.6774)  8 V 2.58-2.76, 2 Ga 2.59, 1 Mn 2.72

Output
* ρ: 6.6 g/cm3
* space-group type: No. 11
* energy of formation from the pure elements: -0.29 eV/f.u.

=====

Below is Mn2VGa after structural relaxation, with properties calculated at the PBE level.

Lattice parameters (Å, degrees): 2.9718 2.9718 5.6189 90.00 90.00 90.00
Closest atoms and distances in Å follow each position.
Fractional coordinates of all 4 atoms:
Mn (0.0000, 0.0000, 0.2402)  4 V 2.50, 4 Ga 2.56, 1 Mn 2.70
Mn (0.0000, 0.0000, 0.7598)  4 V 2.50, 4 Ga 2.56, 1 Mn 2.70
V (0.5000, 0.5000, 0.0000)  8 Mn 2.50
Ga (0.5000, 0.5000, 0.5000)  8 Mn 2.56, 2 V 2.81

Output
* ρ: 7.7 g/cm3
* space-group type: No. 123
* energy of formation from the pure elements: -0.76 eV/f.u.

=====

Below is MnV3Ga after structural relaxation, with properties calculated at the PBE level.

Lattice parameters (Å, degrees): 4.5068 4.5068 4.5068 90.00 90.00 90.00
Closest atoms and distances in Å follow each position.
Fractional coordinates of all 5 atoms:
Mn (0.0000, 0.0000, 0.0000)  12 V 3.19
V (0.0000, 0.5000, 0.5000)  2 Ga 2.25
V (0.5000, 0.0000, 0.5000)  2 Ga 2.25
V (0.5000, 0.5000, 0.0000)  2 Ga 2.25
Ga (0.5000, 0.5000, 0.5000)  6 V 2.25

Output
* ρ: 5.0 g/cm3
* space-group type: No. 221
* energy of formation from the pure elements: 6.17 eV/f.u.
* relative energy among the computed polymorphs: 1.382 eV per atom